Record 1
Compound: YBe2Tc
Source: Alexandria
Functional: PBE
Structure: relaxed

Cell lengths 4.1684, 4.1684, 16.1738 Å; angles 90.00, 90.00, 90.00 degrees
Space group I4_1/amd (No. 141, origin choice 2)
One atom of each set of equivalent atoms:
1 Y 0.0000 0.2500 0.3750 (multiplicity 4)
2 Be 0.0000 0.0000 0.0000 (multiplicity 8)
3 Tc 0.0000 0.2500 0.8750 (multiplicity 4)

## Properties
ΔE_f, eV per atom: 0.304

Record 2
Compound: CeTiS2O
Source: Alexandria
Functional: PBE
Structure: relaxed

Cell lengths 3.6922, 3.6922, 12.7115 Å; angles 90.00, 90.00, 90.00 degrees
Space group P4/nmm (No. 129, origin choice 2)
One atom of each set of equivalent atoms:
1 Ce 0.2500 0.2500 0.1074 (multiplicity 2)
2 Ti 0.2500 0.2500 0.5891 (multiplicity 2)
3 S 0.2500 0.2500 0.3972 (multiplicity 2)
4 S 0.2500 0.2500 0.7849 (multiplicity 2)
5 O 0.2500 0.7500 0.0000 (multiplicity 2)

## Properties
E_form (uncorrected), kJ/mol of atoms: -206

Record 3
Compound: YW
Source: Alexandria
Functional: PBE
Structure: relaxed

Cell lengths 5.0800, 5.0800, 4.7641 Å; angles 90.00, 90.00, 120.00 degrees
Space group P6_3/mmc (No. 194)
One atom of each set of equivalent atoms:
1 Y 0.3333 0.6667 0.2500 (multiplicity 2)
2 W 0.0000 0.0000 0.0000 (multiplicity 2)

## Properties
ΔE_f, eV per atom: 0.787

Record 4
Compound: CdRe2Au
Source: Alexandria
Functional: PBE
Structure: relaxed

Cell lengths 7.5922, 7.5922, 5.2254 Å; angles 90.00, 90.00, 90.00 degrees
Space group I-42d (No. 122)
One atom of each set of equivalent atoms:
1 Cd 0.0000 0.0000 0.0000 (multiplicity 4)
2 Re 0.2342 0.2500 0.6250 (multiplicity 8)
3 Au 0.0000 0.0000 0.5000 (multiplicity 4)

## Properties
ΔE_f, eV per atom: 1.333

Record 5
Compound: K2BaOs3O12
Source: Alexandria
Functional: PBE
Structure: relaxed

Cell lengths 7.3941, 7.3941, 17.1812 Å; angles 90.00, 90.00, 120.00 degrees
Space group R-3m (No. 166, hexagonal axes)
One atom of each set of equivalent atoms:
1 K 0.0000 0.0000 0.1049 (multiplicity 6)
2 Ba 0.0000 0.0000 0.5000 (multiplicity 3)
3 Os 0.0000 0.5000 0.0000 (multiplicity 9)
4 O 0.0750 0.5375 0.8996 (multiplicity 18)
5 O 0.0770 0.5385 0.3086 (multiplicity 18)

## Properties
E_form (uncorrected), kJ/mol of atoms: -134

Record 6
Compound: LaAs2Rh
Source: Alexandria
Functional: PBE
Structure: relaxed

Cell lengths 4.7733, 4.7733, 16.7946 Å; angles 90.00, 90.00, 90.00 degrees
Space group I-42d (No. 122)
One atom of each set of equivalent atoms:
1 La 0.0000 0.0000 0.0000 (multiplicity 4)
2 As 0.1116 0.2500 0.6250 (multiplicity 8)
3 Rh 0.0000 0.0000 0.5000 (multiplicity 4)

## Properties
ΔE_f, eV per atom: -0.668